Record 1
7
Lattice="-5.570 -0.602 5.787 -1.407 -2.543 -7.512 1.592 -4.137 1.102" Properties=species:S:1:pos:R:3 comment="Ba2PrTl4 GGA-PBE relaxed" energy_ev_per_cell=-19.56 volume_a3_per_fu=252.1 total_magnetization_mub_per_fu=0.4 pbc="T T T"
Ba -1.989 -2.369 3.445
Ba 0.093 -3.340 -3.205
Pr 0.000 0.000 0.000
Tl -3.984 -1.341 0.722
Tl -2.992 -1.804 -2.447
Tl -1.231 -2.982 0.050
Tl -4.154 -4.300 -0.673

***

Record 2
9
Lattice="-1.655 5.349 -5.734 -5.444 -5.525 2.018 -1.488 2.461 2.726" Properties=species:S:1:pos:R:3 comment="Sm3Cd3InAu2 GGA-PBE relaxed" energy_ev_per_cell=-31.37 volume_a3_per_fu=220.4 total_magnetization_mub_per_fu=0.0 pbc="T T T"
Au -3.662 2.955 -1.787
Au -4.925 -0.670 0.797
Cd -1.954 5.140 -2.828
Cd -2.655 1.183 0.363
Cd -4.722 -2.807 2.838
In 0.000 0.000 0.000
Sm -0.681 2.201 -2.360
Sm -2.240 -2.274 0.830
Sm -4.177 -0.104 -2.187

***

Record 3
3
Lattice="0.000 3.495 3.495 3.495 0.000 3.495 3.495 3.495 0.000" Properties=species:S:1:pos:R:3 comment="TbNdAu GGA-PBE relaxed" energy_ev_per_cell=-12.18 volume_a3_per_fu=85.4 total_magnetization_mub_per_fu=0.0 pbc="T T T"
Au 1.747 1.747 1.747
Nd 0.000 0.000 0.000
Tb 5.242 5.242 5.242

***

Record 4
4
Lattice="0.000 3.138 3.138 3.138 0.000 3.138 3.138 3.138 0.000" Properties=species:S:1:pos:R:3 comment="TaFeAsPt GGA-PBE relaxed" e_above_lowest_polymorph_mev_per_atom=0 volume_a3_per_fu=61.8 total_magnetization_mub_per_fu=2.0 pbc="T T T"
As 0.000 0.000 0.000
Fe 4.707 4.707 4.707
Pt 3.138 3.138 3.138
Ta 1.569 1.569 1.569